# 1
Below is a relaxed structure of KHF2, with properties calculated at the PBE level.

```
KHF2
1.0
5.058 0.000 0.000
0.000 5.058 0.000
2.529 2.529 3.454
H K F
2 2 4
Direct
0.500 0.500 0.000
0.250 0.750 0.500
0.000 0.000 0.000
0.750 0.250 0.500
0.436 0.125 0.250
0.314 0.625 0.250
0.375 0.564 0.750
0.875 0.686 0.750
```

Properties
electronic total energy = -3.782 eV per atom
calculated volume = 88.4 Å³/cell
SG = I-42d (122)


# 2
Below is a relaxed structure of CaTl2Hg2, with properties calculated at the PBE level.

```
CaTl2Hg2
1.0
-1.850 -2.694 -3.247
3.771 0.534 -2.592
3.856 -6.741 0.127
Tl Ca Hg
2 1 2
Direct
0.750 0.250 0.500
0.250 0.750 0.500
0.000 0.000 0.000
0.400 0.400 0.200
0.600 0.600 0.800
```

Properties
energy relative to the lowest polymorph listed for this composition = 71.6 meV per atom
electronic total energy = -1.616 eV per atom
calculated volume = 149.6 Å³/cell
SG = I4/mmm (139)
energy of formation = -0.15 eV/atom


# 3
Below is a relaxed structure of K2CaPt, with properties calculated at the PBE level.

```
K2CaPt
1.0
-0.233 3.948 -2.297
-6.557 -2.381 0.814
-1.876 2.280 3.484
Ca K Pt
1 2 1
Direct
0.500 0.500 0.000
0.000 0.000 0.000
0.500 0.000 0.500
0.000 0.500 0.500
```

Properties
energy relative to the lowest polymorph listed for this composition = 395.3 meV per atom
electronic total energy = -2.420 eV per atom
calculated volume = 131.1 Å³/cell
SG = Fmmm (69)
energy of formation = 0.14 eV/atom


# 4
Below is a relaxed structure of LaY2Tl, with properties calculated at the PBE level.

```
LaY2Tl
1.0
-2.579 -1.958 4.304
3.091 0.316 1.996
-0.163 6.127 2.690
Y Tl La
2 1 1
Direct
0.000 0.810 0.007
0.500 0.209 0.208
0.500 0.941 0.742
0.000 0.540 0.544
```

Properties
energy relative to the lowest polymorph listed for this composition = 52.1 meV per atom
electronic total energy = -5.199 eV per atom
calculated volume = 128.0 Å³/cell
SG = Pm (6)
energy of formation = -0.14 eV/atom


# 5
Below is a relaxed structure of CaP2PdS8, with properties calculated at the PBE level.

```
CaP2PdS8
1.0
5.859 0.000 0.000
-2.929 5.074 0.000
0.000 0.000 8.452
Ca P Pd S
1 2 1 8
Direct
0.000 0.000 0.000
0.667 0.333 0.255
0.333 0.667 0.745
0.000 0.000 0.500
0.333 0.667 0.982
0.312 0.317 0.314
0.683 0.996 0.314
0.667 0.333 0.018
0.317 0.004 0.686
0.688 0.683 0.686
0.996 0.312 0.686
0.004 0.688 0.314
```

Properties
electronic total energy = -4.646 eV per atom
calculated volume = 251.3 Å³/cell
formation energy (no corrections) = -0.394 eV/atom
SG = P-3 (147)


# 6
Below is a relaxed structure of ZnRe2Ru, with properties calculated at the PBE level.

```
ZnRe2Ru
1.0
-1.025 2.039 -1.476
-0.167 -1.646 -2.156
-7.276 -2.094 2.163
Re Ru Zn
2 1 1
Direct
0.000 0.000 0.007
0.000 0.000 0.493
0.500 0.500 0.250
0.500 0.500 0.750
```

Properties
electronic total energy = -8.672 eV per atom
calculated volume = 58.2 Å³/cell
SG = P4/mmm (123)
energy of formation = 0.19 eV/atom


# 7
Below is a relaxed structure of PmNd2Dy3Y6, with properties calculated at the PBE level.

```
PmNd2Dy3Y6
1.0
-1.571 5.345 2.767
-2.772 -1.683 -5.309
-6.821 -6.792 6.926
Pm Nd Dy Y
1 2 3 6
Direct
0.000 0.000 0.000
0.333 0.667 0.000
0.667 0.333 0.000
0.167 0.833 0.500
0.833 0.167 0.500
0.500 0.500 0.500
0.915 0.582 0.747
0.752 0.752 0.253
0.085 0.418 0.253
0.582 0.915 0.747
0.248 0.248 0.747
0.418 0.085 0.253
```

Properties
electronic total energy = -5.556 eV per atom
calculated volume = 391.5 Å³/cell
SG = C2/m (12)
energy of formation = 0.02 eV/atom


# 8
Below is a relaxed structure of TbSmPu2S4, with properties calculated at the PBE level.

```
TbSmPu2S4
1.0
3.953 0.000 0.000
0.000 6.848 0.118
0.000 -2.392 6.452
Tb Sm Pu S
1 1 2 4
Direct
0.000 0.000 0.000
0.500 0.500 0.000
0.500 0.000 0.500
0.000 0.500 0.500
0.500 0.247 0.251
0.500 0.753 0.749
0.000 0.246 0.747
0.000 0.754 0.253
```

Properties
electronic total energy = -8.730 eV per atom
calculated volume = 175.8 Å³/cell
formation energy (no corrections) = -1.915 eV/atom
SG = P2/m (10)


# 9
Below is a relaxed structure of PrNdHo, with properties calculated at the PBE level.

```
PrNdHo
1.0
-2.367 -0.390 2.745
0.916 -1.965 2.931
6.563 14.594 7.735
Pr Nd Ho
2 2 2
Direct
0.833 0.833 0.085
0.167 0.167 0.915
0.501 0.501 0.743
0.499 0.499 0.257
0.833 0.833 0.421
0.167 0.167 0.579
```

Properties
energy relative to the lowest polymorph listed for this composition = 0.0 meV per atom
electronic total energy = -4.690 eV per atom
calculated volume = 204.6 Å³/cell
SG = C2/m (12)
energy of formation = 0.02 eV/atom


# 10
Below is a relaxed structure of FeOsW3, with properties calculated at the PBE level.

```
FeOsW3
1.0
-4.258 -1.073 0.133
0.803 -2.775 3.309
-0.724 3.232 2.886
Os Fe W
1 1 3
Direct
0.500 0.500 0.500
0.000 0.000 0.000
0.000 0.500 0.000
0.000 0.000 0.500
0.500 0.000 0.000
```

Properties
energy relative to the lowest polymorph listed for this composition = 0.0 meV per atom
electronic total energy = -10.251 eV per atom
calculated volume = 84.8 Å³/cell
SG = Pm-3m (221)
energy of formation = 1.46 eV/atom


# 11
Below is a relaxed structure of TbYF6, with properties calculated at the PBE level.

```
TbYF6
1.0
-5.101 2.930 -0.347
-2.955 1.374 4.914
-0.095 5.986 1.810
Tb Y F
1 1 6
Direct
0.500 0.500 0.500
0.000 0.000 0.000
0.170 0.329 0.751
0.750 0.170 0.751
0.671 0.250 0.250
0.250 0.830 0.249
0.830 0.671 0.249
0.329 0.750 0.750
```

Properties
electronic total energy = -6.893 eV per atom
calculated volume = 157.7 Å³/cell
formation energy (no corrections) = -4.102 eV/atom
SG = R-3 (148)


# 12
Below is a relaxed structure of OsRuPb2, with properties calculated at the PBE level.

```
OsRuPb2
1.0
0.000 3.348 3.348
3.348 0.000 3.348
3.348 3.348 0.000
Pb Ru Os
2 1 1
Direct
0.250 0.250 0.250
0.750 0.750 0.750
0.000 0.000 0.000
0.500 0.500 0.500
```

Properties
energy relative to the lowest polymorph listed for this composition = 311.9 meV per atom
electronic total energy = -6.209 eV per atom
calculated volume = 75.0 Å³/cell
SG = Fm-3m (225)
energy of formation = 0.77 eV/atom


# 13
Below is a relaxed structure of BePdI, with properties calculated at the PBE level.

```
BePdI
1.0
3.779 0.000 0.000
-1.562 3.723 0.000
-1.532 -0.852 9.586
I Be Pd
2 2 2
Direct
0.954 0.461 0.554
0.494 0.100 0.964
0.385 0.594 0.273
0.711 0.190 0.242
0.865 0.715 0.137
0.245 0.077 0.382
```

Properties
energy relative to the lowest polymorph listed for this composition = 22.7 meV per atom
electronic total energy = -3.780 eV per atom
calculated volume = 134.9 Å³/cell
formation energy (no corrections) = -0.290 eV/atom
SG = P1 (1)